Record 1
The following is a PBE calculation of a geometry-optimized LiLa2As4Ir3 structure, from the Alexandria database.

The calculation puts the formation energy at -861 meV/atom. Its total magnetization is 0.0 μB/cell. As for the uncorrected energy: -65.6 eV/f.u.

It has space group P-4m2 (No. 115), with a = 4.4303 Å, b = 4.4303 Å, c = 9.8058 Å, α = 90.00°, β = 90.00° and γ = 90.00°. The asymmetric unit holds Li at (0.0000, 0.0000, 0.0000), La at (0.0000, 0.5000, 0.7468), As at (0.0000, 0.0000, 0.5000), As at (0.0000, 0.5000, 0.1308), As at (0.5000, 0.5000, 0.5000), Ir at (0.0000, 0.5000, 0.3856) and Ir at (0.5000, 0.5000, 0.0000).

---

Record 2
The following is a PBE calculation of a geometry-optimized LiLa2As3Ir4 structure, from the Alexandria database.

The calculation puts the formation energy at -777 meV/atom. Its total magnetization is 0.0 μB/cell. As for the uncorrected energy: -68.9 eV/f.u.

It has space group P-4m2 (No. 115), with a = 4.1940 Å, b = 4.1940 Å, c = 10.5250 Å, α = 90.00°, β = 90.00° and γ = 90.00°. The asymmetric unit holds Li at (0.0000, 0.0000, 0.0000), La at (0.0000, 0.5000, 0.7576), As at (0.0000, 0.5000, 0.3646), As at (0.5000, 0.5000, 0.0000), Ir at (0.0000, 0.0000, 0.5000), Ir at (0.0000, 0.5000, 0.1348) and Ir at (0.5000, 0.5000, 0.5000).

---

Record 3
The following is a PBE calculation of a geometry-optimized La2MgAs3Ir4 structure, from the Alexandria database.

The calculation puts the formation energy at -767 meV/atom. Its total magnetization is 0.0 μB/cell. As for the uncorrected energy: -68.5 eV/f.u.

It has space group P-4m2 (No. 115), with a = 4.1775 Å, b = 4.1775 Å, c = 10.9656 Å, α = 90.00°, β = 90.00° and γ = 90.00°. The asymmetric unit holds La at (0.0000, 0.5000, 0.2471), Mg at (0.0000, 0.0000, 0.5000), As at (0.0000, 0.5000, 0.8691), As at (0.5000, 0.5000, 0.5000), Ir at (0.0000, 0.0000, 0.0000), Ir at (0.0000, 0.5000, 0.6472) and Ir at (0.5000, 0.5000, 0.0000).

---

Record 4
The following is a PBE calculation of a geometry-optimized La2MnAs3Ir4 structure, from the Alexandria database.

The calculation puts the formation energy at -716 meV/atom. Its total magnetization is 3.5 μB/cell. As for the uncorrected energy: -75.6 eV/f.u.

It has space group P-4m2 (No. 115), with a = 4.2298 Å, b = 4.2298 Å, c = 10.4889 Å, α = 90.00°, β = 90.00° and γ = 90.00°. The asymmetric unit holds La at (0.0000, 0.5000, 0.2464), Mn at (0.5000, 0.5000, 0.0000), As at (0.0000, 0.0000, 0.0000), As at (0.0000, 0.5000, 0.6364), Ir at (0.0000, 0.0000, 0.5000), Ir at (0.0000, 0.5000, 0.8690) and Ir at (0.5000, 0.5000, 0.5000).

---

Record 5
The following is a PBE calculation of a geometry-optimized La2MnAs4Ir3 structure, from the Alexandria database.

The calculation puts the formation energy at -780 meV/atom. Its total magnetization is 3.4 μB/cell. As for the uncorrected energy: -72.0 eV/f.u.

It has space group P-4m2 (No. 115), with a = 4.3586 Å, b = 4.3586 Å, c = 10.0979 Å, α = 90.00°, β = 90.00° and γ = 90.00°. The asymmetric unit holds La at (0.0000, 0.5000, 0.2438), Mn at (0.0000, 0.0000, 0.5000), As at (0.0000, 0.0000, 0.0000), As at (0.0000, 0.5000, 0.6350), As at (0.5000, 0.5000, 0.0000), Ir at (0.0000, 0.5000, 0.8824) and Ir at (0.5000, 0.5000, 0.5000).

---

Record 6
The following is a PBE calculation of a geometry-optimized La2NbAs4Ir3 structure, from the Alexandria database.

The calculation puts the formation energy at -802 meV/atom. Its total magnetization is 0.5 μB/cell. As for the uncorrected energy: -73.1 eV/f.u.

It has space group P-4m2 (No. 115), with a = 4.3865 Å, b = 4.3865 Å, c = 10.2151 Å, α = 90.00°, β = 90.00° and γ = 90.00°. The asymmetric unit holds La at (0.0000, 0.5000, 0.2336), Nb at (0.0000, 0.0000, 0.5000), As at (0.0000, 0.0000, 0.0000), As at (0.0000, 0.5000, 0.6389), As at (0.5000, 0.5000, 0.0000), Ir at (0.0000, 0.5000, 0.8852) and Ir at (0.5000, 0.5000, 0.5000).

---

- Which formula does entry 3 have?
  La2MgAs3Ir4

---

- What is the total magnetization in the third record?
  0.0 μB/cell

---

- Number 3 is which compound?
  La2MgAs3Ir4